[1]
A relaxed structure of TlCrAg2. Source: the Alexandria database, functional PBE-GGA.

```
4
Lattice="1.5905 0.9183 9.1860 -1.5905 0.9183 9.1860 0.0000 -1.8366 9.1860" Properties=species:S:1:pos:R:3 pbc="T T T"
Tl 0.0000 0.0000 0.0000
Cr 0.0000 0.0000 6.8484
Ag 0.0000 0.0000 13.8893
Ag 0.0000 0.0000 20.8386
```

## Properties
SG   R3m
Formation enthalpy at 0 K   0.46 eV/atom
Magnetization   4.125 μB/cell

***

[2]
A relaxed structure of Th6SnAs2Se3. Source: the Alexandria database, functional PBE-GGA.

```
12
Lattice="9.2972 -2.1593 0.0000 9.2972 2.1593 0.0000 -1.8282 0.0000 8.2946" Properties=species:S:1:pos:R:3 pbc="T T T"
Th -0.4140 0.0000 2.1941
Th 4.4346 0.0000 7.5527
Th 5.4135 0.0000 3.4883
Th 11.3529 0.0000 4.8062
Th 12.3318 0.0000 0.7418
Th 17.1804 0.0000 6.1005
Sn 9.2972 0.0000 0.0000
As 2.5222 0.0000 2.7673
As 14.2441 0.0000 5.5273
Se 1.5021 0.0000 6.8924
Se 8.3832 0.0000 4.1473
Se 15.2642 0.0000 1.4021
```

## Properties
SG   C2/m
Formation energy from raw total energies   -1317 meV/atom
Magnetization   0.000 μB/cell

***

- The highest magnetization belongs to which entry?
  TlCrAg2